LaTbAsO, optimized geometry, DFT PBE-GGA; E above lowest polymorph = 0.70 eV per formula unit; calculated density = 7474 kg/m3; final energy = -6.63 eV per atom; magnetic moment = 0.01 μB per formula unit
1.0
-4.0890 1.1914 -0.0851
0.0008 -0.3005 -4.2493
-2.6693 -9.1150 0.6441
As Tb La O
2 2 2 2
Direct
0.2500 0.2500 0.7239
0.7500 0.7500 0.2761
0.7500 0.7500 0.9018
0.2500 0.2500 0.0982
0.7500 0.2500 0.5000
0.2500 0.7500 0.5000
0.2500 0.7500 0.0000
0.7500 0.2500 0.0000

KNpTa, optimized geometry, DFT PBE-GGA; calculated density = 10462 kg/m3; final energy = -5.84 eV per atom; magnetic moment = 4.99 μB per formula unit
1.0
0.0000 3.3102 3.3102
3.3102 0.0000 3.3102
3.3102 3.3102 0.0000
Ta K Np
1 1 1
Direct
0.7500 0.7500 0.7500
0.0000 0.0000 0.0000
0.2500 0.2500 0.2500